1.
DFT (PBE-GGA) results for a relaxed structure of Li2HfMnI.

The structure belongs to space group P4/mmm (No. 123); the cell edges are 4.740, 4.740 and 5.550 Å and the angles 90.00°, 90.00° and 90.00°. Symmetry generates all atoms from Li at (0.000, 0.500, 0.000), Hf at (0.000, 0.000, 0.500), Mn at (0.500, 0.500, 0.500) and I at (0.000, 0.000, 0.000).

The calculation puts the raw total energy at -20.87 eV per cell.

=====

2.
DFT (PBE-GGA) results for a relaxed structure of InFe4Re.

The structure belongs to space group F-43m (No. 216); the cell edges are 6.818, 6.818 and 6.818 Å and the angles 90.00°, 90.00° and 90.00°. Symmetry generates all atoms from In at (0.000, 0.000, 0.000), Fe at (0.124, 0.124, 0.376) and Re at (0.250, 0.250, 0.750).

Its formation energy is 0.2093 eV/atom.